Material: SiTeP
Method: DFT, PBE
State: relaxed

a b c (Å): 3.4467 3.4467 7.0013
angles (deg): 90.00 90.00 120.00
Space group P3m1 (No. 156)
One atom of each set of equivalent atoms:
Si 0.0000 0.0000 0.0000 (multiplicity 1)
Te 0.6667 0.3333 0.3186 (multiplicity 1)
P 0.3333 0.6667 0.8437 (multiplicity 1)

DFT total energy ... -4.5265 eV per atom
Total magnetization ... 0.00 Bohr magnetons per cell


Material: Pm2Sm3Ho6
Method: DFT, PBE
State: relaxed

a b c (Å): 4.751 4.751 33.207
angles (deg): 90.00 90.00 90.00
Space group I4/mmm (No. 139)
One atom of each set of equivalent atoms:
Pm 0.000 0.000 0.046 (multiplicity 4)
Sm 0.000 0.000 0.297 (multiplicity 4)
Sm 0.000 0.000 0.500 (multiplicity 2)
Ho 0.000 0.000 0.194 (multiplicity 4)
Ho 0.000 0.500 0.121 (multiplicity 8)

DFT total energy ... -4.3829 eV per atom
Total magnetization ... 0.00 Bohr magnetons per cell


Material: YTe2Os2
Method: DFT, PBE
State: relaxed

a b c (Å): 7.948 7.948 3.195
angles (deg): 90.00 90.00 90.00
Space group P4/mbm (No. 127)
One atom of each set of equivalent atoms:
Y 0.000 0.000 0.000 (multiplicity 2)
Te 0.156 0.344 0.000 (multiplicity 4)
Os 0.136 0.636 0.500 (multiplicity 4)

DFT total energy ... -6.6142 eV per atom
Total magnetization ... 0.00 Bohr magnetons per cell


Material: TaInPd4
Method: DFT, PBE
State: relaxed

a b c (Å): 9.462 2.999 7.597
angles (deg): 90.00 113.65 90.00
Space group C2/m (No. 12)
One atom of each set of equivalent atoms:
Ta 0.000 0.000 0.000 (multiplicity 2)
In 0.000 0.000 0.500 (multiplicity 2)
Pd 0.161 0.500 0.324 (multiplicity 4)
Pd 0.166 0.500 0.839 (multiplicity 4)

DFT total energy ... -6.3219 eV per atom
Total magnetization ... 0.00 Bohr magnetons per cell


Material: InSnHgF2
Method: DFT, PBE
State: relaxed

a b c (Å): 4.509 4.509 5.784
angles (deg): 90.00 90.00 90.00
Space group P4/mmm (No. 123)
One atom of each set of equivalent atoms:
In 0.000 0.000 0.000 (multiplicity 1)
Sn 0.500 0.500 0.500 (multiplicity 1)
Hg 0.500 0.500 0.000 (multiplicity 1)
F 0.000 0.500 0.500 (multiplicity 2)

DFT total energy ... -3.3925 eV per atom
Total magnetization ... 0.00 Bohr magnetons per cell


Material: TbSn4Pt4
Method: DFT, PBE
State: relaxed

a b c (Å): 6.909 6.909 8.424
angles (deg): 90.00 90.00 90.00
Space group P4_2/nmc (No. 137, origin choice 2)
One atom of each set of equivalent atoms:
Tb 0.250 0.750 0.250 (multiplicity 2)
Sn 0.007 0.250 0.124 (multiplicity 8)
Pt 0.036 0.250 0.444 (multiplicity 8)

DFT total energy ... -5.5054 eV per atom
Total magnetization ... 0.00 Bohr magnetons per cell


Material: PrY2Co9
Method: DFT, PBE
State: relaxed

a b c (Å): 5.0390 5.0390 24.3468
angles (deg): 90.00 90.00 120.00
Space group R-3m (No. 166, hexagonal axes)
One atom of each set of equivalent atoms:
Pr 0.0000 0.0000 0.0000 (multiplicity 3)
Y 0.0000 0.0000 0.1403 (multiplicity 6)
Co 0.0000 0.0000 0.3351 (multiplicity 6)
Co 0.0000 0.0000 0.5000 (multiplicity 3)
Co 0.0031 0.5016 0.9180 (multiplicity 18)

DFT total energy ... -6.9215 eV per atom
Total magnetization ... 31.31 Bohr magnetons per cell


Material: LaPrPtI
Method: DFT, PBE
State: relaxed

a b c (Å): 4.3140 4.3140 24.7545
angles (deg): 90.00 90.00 120.00
Space group R3m (No. 160, hexagonal axes)
One atom of each set of equivalent atoms:
La 0.0000 0.0000 0.0000 (multiplicity 3)
Pr 0.0000 0.0000 0.7908 (multiplicity 3)
Pt 0.0000 0.0000 0.3952 (multiplicity 3)
I 0.0000 0.0000 0.5632 (multiplicity 3)

DFT total energy ... -5.4817 eV per atom
Total magnetization ... 0.00 Bohr magnetons per cell


Material: Er3Sb2As
Method: DFT, PBE
State: relaxed

a b c (Å): 4.236 6.046 12.855
angles (deg): 90.00 90.00 90.00
Space group Immm (No. 71)
One atom of each set of equivalent atoms:
Er 0.000 0.000 0.000 (multiplicity 2)
Er 0.000 0.000 0.345 (multiplicity 4)
Sb 0.000 0.500 0.330 (multiplicity 4)
As 0.000 0.500 0.000 (multiplicity 2)

DFT total energy ... -5.6424 eV per atom
Total magnetization ... 0.00 Bohr magnetons per cell


Material: EuTmIrPt
Method: DFT, PBE
State: relaxed

a b c (Å): 6.947 6.947 6.947
angles (deg): 90.00 90.00 90.00
Space group F-43m (No. 216)
One atom of each set of equivalent atoms:
Eu 0.000 0.000 0.000 (multiplicity 4)
Tm 0.000 0.000 0.500 (multiplicity 4)
Ir 0.250 0.250 0.250 (multiplicity 4)
Pt 0.250 0.250 0.750 (multiplicity 4)

DFT total energy ... -8.1934 eV per atom
Total magnetization ... 26.84 Bohr magnetons per cell


Material: BaYMg2Pt
Method: DFT, PBE
State: relaxed

a b c (Å): 5.564 5.564 5.700
angles (deg): 90.00 90.00 90.00
Space group P4/mmm (No. 123)
One atom of each set of equivalent atoms:
Ba 0.000 0.000 0.000 (multiplicity 1)
Y 0.000 0.000 0.500 (multiplicity 1)
Mg 0.000 0.500 0.000 (multiplicity 2)
Pt 0.500 0.500 0.500 (multiplicity 1)

DFT total energy ... -1.9400 eV per atom
Total magnetization ... 0.00 Bohr magnetons per cell


Material: La2HoEr9
Method: DFT, PBE
State: relaxed

a b c (Å): 5.021 5.021 15.093
angles (deg): 90.00 90.00 90.00
Space group P4/mmm (No. 123)
One atom of each set of equivalent atoms:
La 0.000 0.000 0.166 (multiplicity 2)
Ho 0.000 0.000 0.500 (multiplicity 1)
Er 0.000 0.500 0.000 (multiplicity 2)
Er 0.000 0.500 0.338 (multiplicity 4)
Er 0.500 0.500 0.169 (multiplicity 2)
Er 0.500 0.500 0.500 (multiplicity 1)

DFT total energy ... -4.5909 eV per atom
Total magnetization ... 0.00 Bohr magnetons per cell


Material: Ba4LiIn2
Method: DFT, PBE
State: relaxed

a b c (Å): 6.0475 6.0475 29.4517
angles (deg): 90.00 90.00 120.00
Space group R-3m (No. 166, hexagonal axes)
One atom of each set of equivalent atoms:
Ba 0.0000 0.0000 0.1218 (multiplicity 6)
Ba 0.0000 0.0000 0.3732 (multiplicity 6)
Li 0.0000 0.0000 0.5000 (multiplicity 3)
In 0.0000 0.0000 0.2461 (multiplicity 6)

DFT total energy ... -2.3712 eV per atom
Total magnetization ... 0.00 Bohr magnetons per cell


Material: DyInSn2
Method: DFT, PBE
State: relaxed

a b c (Å): 4.9810 4.9810 23.7902
angles (deg): 90.00 90.00 120.00
Space group R-3m (No. 166, hexagonal axes)
One atom of each set of equivalent atoms:
Dy 0.0000 0.0000 0.0000 (multiplicity 3)
In 0.0000 0.0000 0.5000 (multiplicity 3)
Sn 0.0000 0.0000 0.3810 (multiplicity 6)

DFT total energy ... -3.5923 eV per atom
Total magnetization ... 0.00 Bohr magnetons per cell


Material: Li4PmNi2
Method: DFT, PBE
State: relaxed

a b c (Å): 3.860 16.024 3.945
angles (deg): 90.00 90.00 90.00
Space group Cmmm (No. 65)
One atom of each set of equivalent atoms:
Li 0.000 0.174 0.000 (multiplicity 4)
Li 0.000 0.320 0.500 (multiplicity 4)
Pm 0.000 0.500 0.000 (multiplicity 2)
Ni 0.000 0.072 0.500 (multiplicity 4)

DFT total energy ... -3.5095 eV per atom
Total magnetization ... 0.00 Bohr magnetons per cell


Material: BeTe3Ir
Method: DFT, PBE
State: relaxed

a b c (Å): 5.258 5.258 5.258
angles (deg): 90.00 90.00 90.00
Space group Pm-3m (No. 221)
One atom of each set of equivalent atoms:
Be 0.000 0.000 0.000 (multiplicity 1)
Te 0.000 0.500 0.500 (multiplicity 3)
Ir 0.500 0.500 0.500 (multiplicity 1)

DFT total energy ... -3.4169 eV per atom
Total magnetization ... 0.00 Bohr magnetons per cell


Material: SrSiSeN2
Method: DFT, PBE
State: relaxed

a b c (Å): 3.921 3.921 5.063
angles (deg): 90.00 90.00 90.00
Space group P4/mmm (No. 123)
One atom of each set of equivalent atoms:
Sr 0.000 0.000 0.000 (multiplicity 1)
Si 0.500 0.500 0.500 (multiplicity 1)
Se 0.500 0.500 0.000 (multiplicity 1)
N 0.000 0.500 0.500 (multiplicity 2)

DFT total energy ... -5.3985 eV per atom
Total magnetization ... 1.50 Bohr magnetons per cell


Material: RbDyAgCl5
Method: DFT, PBE
State: relaxed

a b c (Å): 8.895 12.522 10.185
angles (deg): 90.00 111.29 90.00
Space group C2/c (No. 15)
One atom of each set of equivalent atoms:
Rb 0.000 0.160 0.250 (multiplicity 4)
Dy 0.000 0.500 0.000 (multiplicity 4)
Ag 0.000 0.188 0.750 (multiplicity 4)
Cl 0.000 0.434 0.250 (multiplicity 4)
Cl 0.101 0.305 0.588 (multiplicity 8)
Cl 0.196 0.056 0.934 (multiplicity 8)

DFT total energy ... -3.9764 eV per atom
Total magnetization ... 0.00 Bohr magnetons per cell


Material: Ce2SiTe
Method: DFT, PBE
State: relaxed

a b c (Å): 7.432 4.371 14.790
angles (deg): 90.00 90.00 90.00
Space group Pnma (No. 62)
One atom of each set of equivalent atoms:
Ce 0.153 0.250 0.245 (multiplicity 4)
Ce 0.244 0.250 0.505 (multiplicity 4)
Si 0.084 0.750 0.602 (multiplicity 4)
Te 0.097 0.250 0.858 (multiplicity 4)

DFT total energy ... -5.8740 eV per atom
Total magnetization ... 6.53 Bohr magnetons per cell


Material: LaSnOs
Method: DFT, PBE
State: relaxed

a b c (Å): 4.600 4.600 7.206
angles (deg): 90.00 90.00 90.00
Space group P4/nmm (No. 129, origin choice 2)
One atom of each set of equivalent atoms:
La 0.250 0.250 0.207 (multiplicity 2)
Sn 0.250 0.250 0.705 (multiplicity 2)
Os 0.250 0.750 0.500 (multiplicity 2)

DFT total energy ... -7.0376 eV per atom
Total magnetization ... 0.00 Bohr magnetons per cell


Material: LiFe2P
Method: DFT, PBE
State: relaxed

a b c (Å): 3.392 3.555 3.549
angles (deg): 90.00 90.12 90.00
Space group P2/m (No. 10)
One atom of each set of equivalent atoms:
Li 0.000 0.000 0.000 (multiplicity 1)
Fe 0.500 0.000 0.500 (multiplicity 1)
Fe 0.500 0.500 0.000 (multiplicity 1)
P 0.000 0.500 0.500 (multiplicity 1)

DFT total energy ... -6.2055 eV per atom
Total magnetization ... 3.46 Bohr magnetons per cell


Material: KTc
Method: DFT, PBE
State: relaxed

a b c (Å): 13.470 13.470 3.715
angles (deg): 90.00 90.00 90.00
Space group P4/m (No. 83)
One atom of each set of equivalent atoms:
K 0.005 0.289 0.000 (multiplicity 4)
K 0.315 0.352 0.500 (multiplicity 4)
Tc 0.091 0.501 0.500 (multiplicity 4)
Tc 0.182 0.537 0.000 (multiplicity 4)

DFT total energy ... -4.7602 eV per atom
Total magnetization ... 0.00 Bohr magnetons per cell


Material: Li2TcPb
Method: DFT, PBE
State: relaxed

a b c (Å): 3.551 4.894 8.930
angles (deg): 90.00 90.00 90.00
Space group Cmm2 (No. 35)
One atom of each set of equivalent atoms:
Li 0.000 0.000 0.000 (multiplicity 2)
Li 0.000 0.500 0.268 (multiplicity 2)
Tc 0.000 0.000 0.491 (multiplicity 2)
Pb 0.000 0.500 0.732 (multiplicity 2)

DFT total energy ... -4.0579 eV per atom
Total magnetization ... 1.42 Bohr magnetons per cell


Material: AsSe2BrO
Method: DFT, PBE
State: relaxed

a b c (Å): 5.042 5.042 5.219
angles (deg): 90.00 90.00 90.00
Space group P4/mmm (No. 123)
One atom of each set of equivalent atoms:
As 0.000 0.000 0.000 (multiplicity 1)
Se 0.000 0.500 0.000 (multiplicity 2)
Br 0.000 0.000 0.500 (multiplicity 1)
O 0.500 0.500 0.500 (multiplicity 1)

DFT total energy ... -2.6562 eV per atom
Total magnetization ... 0.10 Bohr magnetons per cell


Material: AlCr2Pt
Method: DFT, PBE
State: relaxed

a b c (Å): 2.6805 2.6805 26.1526
angles (deg): 90.00 90.00 120.00
Space group R-3m (No. 166, hexagonal axes)
One atom of each set of equivalent atoms:
Al 0.0000 0.0000 0.0000 (multiplicity 3)
Cr 0.0000 0.0000 0.2507 (multiplicity 6)
Pt 0.0000 0.0000 0.5000 (multiplicity 3)

DFT total energy ... -7.2095 eV per atom
Total magnetization ... 0.00 Bohr magnetons per cell